Y3AsBr | meta-GGA SCAN | single point on PBEsol structure

Cell: 5.182 5.182 5.182 Å, 90.00 90.00 90.00°
Sites, in units of the cell vectors:
Y (0.000, 0.500, 0.000)
Y (0.000, 0.000, 0.500)
Y (0.500, 0.000, 0.000)
As (0.500, 0.500, 0.500)
Br (0.000, 0.000, 0.000)

Values from the calculation:
For the formation energy from raw total energies, the calculation gives -0.7 eV/f.u.

BaHg2OsO | meta-GGA SCAN | single point on PBEsol structure

Cell: 3.756 5.521 5.521 Å, 90.00 90.00 90.00°
Sites, in units of the cell vectors:
Os (0.000, 0.000, 0.000)
Hg (0.000, 0.000, 0.500)
Hg (0.000, 0.500, 0.000)
O (0.500, 0.000, 0.000)
Ba (0.500, 0.500, 0.500)

Values from the calculation:
For the formation energy from raw total energies, the calculation gives -1.7 eV/f.u.

Mg2Zn | meta-GGA SCAN | single point on PBEsol structure

Cell: 4.730 5.279 5.279 Å, 120.00 90.00 90.00°
Sites, in units of the cell vectors:
Zn (0.500, 0.667, 0.333)
Zn (0.500, 0.333, 0.667)
Mg (0.000, 0.351, 0.351)
Mg (0.000, 0.000, 0.649)
Mg (0.000, 0.649, 0.000)
Mg (0.500, 0.000, 0.000)

Values from the calculation:
The formation energy comes out at -0.035 eV per atom.